First-principles (PBE) data for a geometry-optimized NpUBr structure, as listed in the Alexandria database.

Lattice parameters (Å, degrees): 5.307 5.307 8.186 106.71 106.71 39.53
Positions (direct):
Np  0.107  0.107  0.391
Np  0.893  0.893  0.609
U  0.262  0.262  0.698
U  0.738  0.738  0.302
Br  0.394  0.394  0.125
Br  0.606  0.606  0.875

## Properties
magnetization: 0.181 μB/atom
N(E_F): 11.1 states/eV/cell
formation energy from raw total energies: -115 meV/atom
crystal system: monoclinic
energy: -8.749 eV per atom

=====

First-principles (PBE) data for a geometry-optimized NpUBr6 structure, as listed in the Alexandria database.

Lattice parameters (Å, degrees): 7.404 7.404 7.209 98.00 98.00 121.70
Positions (direct):
Np  0.000  0.000  0.000
U  0.500  0.500  0.500
Br  0.103  0.405  0.252
Br  0.249  0.249  0.747
Br  0.405  0.103  0.252
Br  0.595  0.897  0.748
Br  0.751  0.751  0.253
Br  0.897  0.595  0.748

## Properties
magnetization: 0.875 μB/atom
N(E_F): 12.1 states/eV/cell
formation energy from raw total energies: -1279 meV/atom
crystal system: monoclinic
energy: -5.562 eV per atom

=====

Copy entry 1 word for word.
First-principles (PBE) data for a geometry-optimized NpUBr structure, as listed in the Alexandria database.

Lattice parameters (Å, degrees): 5.307 5.307 8.186 106.71 106.71 39.53
Positions (direct):
Np  0.107  0.107  0.391
Np  0.893  0.893  0.609
U  0.262  0.262  0.698
U  0.738  0.738  0.302
Br  0.394  0.394  0.125
Br  0.606  0.606  0.875

## Properties
magnetization: 0.181 μB/atom
N(E_F): 11.1 states/eV/cell
formation energy from raw total energies: -115 meV/atom
crystal system: monoclinic
energy: -8.749 eV per atom

=====

The highest N(E_F) belongs to which entry? NpUBr6

=====

energy of number 2 (NpUBr6)? -5.562 eV per atom